Record 1
# Be3Cd2 | Alexandria | PBE | optimized geometry
# Polymorph energy (0 for the lowest one) (meV per atom): 96.2
# DOS at the Fermi energy (states/eV/cell): 1.81
# Uncorrected energy (eV/atom): -2.03
# Crystal system: trigonal
data_Be3Cd2
_space_group_name_H-M_alt 'R -3 m'
_space_group_IT_number 166
_space_group_name_Hall '-R 3 2"'
_cell_length_a 2.8194
_cell_length_b 2.8194
_cell_length_c 31.2454
_cell_angle_alpha 90.00
_cell_angle_beta 90.00
_cell_angle_gamma 120.00
loop_
_atom_site_label
_atom_site_type_symbol
_atom_site_fract_x
_atom_site_fract_y
_atom_site_fract_z
Be1 Be 0.0000 0.0000 0.0000
Be2 Be 0.0000 0.0000 0.1910
Cd1 Cd 0.0000 0.0000 0.4043

---

Record 2
# BeCd5 | Alexandria | PBE | optimized geometry
# Polymorph energy (0 for the lowest one) (meV per atom): 294.4
# DOS at the Fermi energy (states/eV/cell): 8.18
# Uncorrected energy (eV/atom): -0.94
# Crystal system: cubic
data_BeCd5
_space_group_name_H-M_alt 'F -4 3 m'
_space_group_IT_number 216
_space_group_name_Hall 'F -4 2 3'
_cell_length_a 8.0716
_cell_length_b 8.0716
_cell_length_c 8.0716
_cell_angle_alpha 90.00
_cell_angle_beta 90.00
_cell_angle_gamma 90.00
loop_
_atom_site_label
_atom_site_type_symbol
_atom_site_fract_x
_atom_site_fract_y
_atom_site_fract_z
Be1 Be 0.0000 0.0000 0.0000
Cd1 Cd 0.1253 0.1253 0.3747
Cd2 Cd 0.2500 0.2500 0.7500

---

Record 3
# Be2Cd3 | Alexandria | PBE | optimized geometry
# Polymorph energy (0 for the lowest one) (meV per atom): 57.1
# DOS at the Fermi energy (states/eV/cell): 9.20
# Uncorrected energy (eV/atom): -1.70
# Crystal system: orthorhombic
data_Be2Cd3
_space_group_name_H-M_alt 'F d d 2'
_space_group_IT_number 43
_space_group_name_Hall 'F 2 -2d'
_cell_length_a 11.7428
_cell_length_b 20.7810
_cell_length_c 2.7852
_cell_angle_alpha 90.00
_cell_angle_beta 90.00
_cell_angle_gamma 90.00
loop_
_atom_site_label
_atom_site_type_symbol
_atom_site_fract_x
_atom_site_fract_y
_atom_site_fract_z
Be1 Be 0.0600 0.2762 0.0000
Cd1 Cd 0.0000 0.0000 0.2638
Cd2 Cd 0.0692 0.1417 0.9745

---

Record 4
# Be3Cd | Alexandria | PBE | optimized geometry
# Polymorph energy (0 for the lowest one) (meV per atom): 235.8
# DOS at the Fermi energy (states/eV/cell): 1.09
# Uncorrected energy (eV/atom): -2.51
# Crystal system: orthorhombic
data_Be3Cd
_space_group_name_H-M_alt 'C m m m'
_space_group_IT_number 65
_space_group_name_Hall '-C 2 2'
_cell_length_a 5.1284
_cell_length_b 6.2374
_cell_length_c 2.9690
_cell_angle_alpha 90.00
_cell_angle_beta 90.00
_cell_angle_gamma 90.00
loop_
_atom_site_label
_atom_site_type_symbol
_atom_site_fract_x
_atom_site_fract_y
_atom_site_fract_z
Be1 Be 0.0000 0.0000 0.0000
Be2 Be 0.2500 0.2500 0.5000
Cd1 Cd 0.0000 0.5000 0.0000

---

Record 5
# CeBe2CdH8 | Alexandria | PBE | optimized geometry
# DOS at the Fermi energy (states/eV/cell): 24.53
# Uncorrected energy (eV/atom): -3.50
# Crystal system: trigonal
data_CeBe2CdH8
_space_group_name_H-M_alt 'R -3'
_space_group_IT_number 148
_space_group_name_Hall '-R 3'
_cell_length_a 4.4717
_cell_length_b 4.4717
_cell_length_c 19.0936
_cell_angle_alpha 90.00
_cell_angle_beta 90.00
_cell_angle_gamma 120.00
loop_
_atom_site_label
_atom_site_type_symbol
_atom_site_fract_x
_atom_site_fract_y
_atom_site_fract_z
Ce1 Ce 0.0000 0.0000 0.0000
Be1 Be 0.0000 0.0000 0.2514
Cd1 Cd 0.0000 0.0000 0.5000
H1 H 0.0000 0.0000 0.3278
H2 H 0.0021 0.6101 0.5642

---

Record 6
# Ce2BeCdPt6 | Alexandria | PBE | optimized geometry
# DOS at the Fermi energy (states/eV/cell): 37.85
# Uncorrected energy (eV/atom): -6.02
# Crystal system: trigonal
data_Ce2BeCdPt6
_space_group_name_H-M_alt 'R -3 m'
_space_group_IT_number 166
_space_group_name_Hall '-R 3 2"'
_cell_length_a 5.6182
_cell_length_b 5.6182
_cell_length_c 24.1075
_cell_angle_alpha 90.00
_cell_angle_beta 90.00
_cell_angle_gamma 120.00
loop_
_atom_site_label
_atom_site_type_symbol
_atom_site_fract_x
_atom_site_fract_y
_atom_site_fract_z
Ce1 Ce 0.0000 0.0000 0.2052
Be1 Be 0.0000 0.0000 0.5000
Cd1 Cd 0.0000 0.0000 0.0000
Pt1 Pt 0.0000 0.5000 0.2374

---

Record 7
# CeBeZnCd | Alexandria | PBE | optimized geometry
# DOS at the Fermi energy (states/eV/cell): 20.31
# Uncorrected energy (eV/atom): -2.99
# Crystal system: cubic
data_CeBeZnCd
_space_group_name_H-M_alt 'F -4 3 m'
_space_group_IT_number 216
_space_group_name_Hall 'F -4 2 3'
_cell_length_a 6.7463
_cell_length_b 6.7463
_cell_length_c 6.7463
_cell_angle_alpha 90.00
_cell_angle_beta 90.00
_cell_angle_gamma 90.00
loop_
_atom_site_label
_atom_site_type_symbol
_atom_site_fract_x
_atom_site_fract_y
_atom_site_fract_z
Ce1 Ce 0.0000 0.0000 0.0000
Be1 Be 0.2500 0.2500 0.7500
Zn1 Zn 0.2500 0.2500 0.2500
Cd1 Cd 0.0000 0.0000 0.5000

---

Record 8
# Be2CdCl | Alexandria | PBE | optimized geometry
# Polymorph energy (0 for the lowest one) (meV per atom): 129.7
# DOS at the Fermi energy (states/eV/cell): 2.37
# Uncorrected energy (eV/atom): -2.37
# Crystal system: orthorhombic
# Formation energy from raw total energies (eV per atom): 0.18
data_Be2CdCl
_space_group_name_H-M_alt 'C m m 2'
_space_group_IT_number 35
_space_group_name_Hall 'C 2 -2'
_cell_length_a 2.8638
_cell_length_b 5.7471
_cell_length_c 9.6215
_cell_angle_alpha 90.00
_cell_angle_beta 90.00
_cell_angle_gamma 90.00
loop_
_atom_site_label
_atom_site_type_symbol
_atom_site_fract_x
_atom_site_fract_y
_atom_site_fract_z
Be1 Be 0.0000 0.0000 0.0000
Be2 Be 0.0000 0.5000 0.1856
Cd1 Cd 0.0000 0.0000 0.4133
Cl1 Cl 0.0000 0.5000 0.8553

---

Record 9
# BeCdCl | Alexandria | PBE | optimized geometry
# Polymorph energy (0 for the lowest one) (meV per atom): 0.0
# DOS at the Fermi energy (states/eV/cell): 0.57
# Uncorrected energy (eV/atom): -2.33
# Crystal system: trigonal
# Formation energy from raw total energies (eV per atom): -0.17
data_BeCdCl
_space_group_name_H-M_alt 'P 3 m 1'
_space_group_IT_number 156
_space_group_name_Hall 'P 3 -2"'
_cell_length_a 3.1322
_cell_length_b 3.1322
_cell_length_c 7.5269
_cell_angle_alpha 90.00
_cell_angle_beta 90.00
_cell_angle_gamma 120.00
loop_
_atom_site_label
_atom_site_type_symbol
_atom_site_fract_x
_atom_site_fract_y
_atom_site_fract_z
Be1 Be 0.0000 0.0000 0.0000
Cd1 Cd 0.6667 0.3333 0.2765
Cl1 Cl 0.3333 0.6667 0.8397

---

Record 10
# BeCdCl | Alexandria | PBE | optimized geometry
# Polymorph energy (0 for the lowest one) (meV per atom): 321.6
# DOS at the Fermi energy (states/eV/cell): 1.94
# Uncorrected energy (eV/atom): -2.01
# Crystal system: tetragonal
# Formation energy from raw total energies (eV per atom): 0.16
data_BeCdCl
_space_group_name_H-M_alt 'I 4 m m'
_space_group_IT_number 107
_space_group_name_Hall 'I 4 -2'
_cell_length_a 3.1088
_cell_length_b 3.1088
_cell_length_c 11.6191
_cell_angle_alpha 90.00
_cell_angle_beta 90.00
_cell_angle_gamma 90.00
loop_
_atom_site_label
_atom_site_type_symbol
_atom_site_fract_x
_atom_site_fract_y
_atom_site_fract_z
Be1 Be 0.0000 0.0000 0.0000
Cd1 Cd 0.0000 0.0000 0.3689
Cl1 Cl 0.0000 0.0000 0.6269

---

Record 11
# Be2CdCl | Alexandria | PBE | optimized geometry
# Polymorph energy (0 for the lowest one) (meV per atom): 487.9
# DOS at the Fermi energy (states/eV/cell): 0.51
# Uncorrected energy (eV/atom): -2.01
# Crystal system: tetragonal
# Formation energy from raw total energies (eV per atom): 0.54
data_Be2CdCl
_space_group_name_H-M_alt 'P 4/m m m'
_space_group_IT_number 123
_space_group_name_Hall '-P 4 2'
_cell_length_a 2.9827
_cell_length_b 2.9827
_cell_length_c 7.0921
_cell_angle_alpha 90.00
_cell_angle_beta 90.00
_cell_angle_gamma 90.00
loop_
_atom_site_label
_atom_site_type_symbol
_atom_site_fract_x
_atom_site_fract_y
_atom_site_fract_z
Be1 Be 0.0000 0.0000 0.2363
Cd1 Cd 0.5000 0.5000 0.0000
Cl1 Cl 0.5000 0.5000 0.5000

---

Record 12
# Be2CdCl | Alexandria | PBE | optimized geometry
# Polymorph energy (0 for the lowest one) (meV per atom): 389.1
# DOS at the Fermi energy (states/eV/cell): 2.34
# Uncorrected energy (eV/atom): -2.11
# Crystal system: orthorhombic
# Formation energy from raw total energies (eV per atom): 0.44
data_Be2CdCl
_space_group_name_H-M_alt 'C m m m'
_space_group_IT_number 65
_space_group_name_Hall '-C 2 2'
_cell_length_a 3.0176
_cell_length_b 5.8173
_cell_length_c 7.5737
_cell_angle_alpha 90.00
_cell_angle_beta 90.00
_cell_angle_gamma 90.00
loop_
_atom_site_label
_atom_site_type_symbol
_atom_site_fract_x
_atom_site_fract_y
_atom_site_fract_z
Be1 Be 0.0000 0.0000 0.2354
Cd1 Cd 0.0000 0.5000 0.5000
Cl1 Cl 0.0000 0.5000 0.0000

---

Record 13
# Be2CdCl | Alexandria | PBE | optimized geometry
# Polymorph energy (0 for the lowest one) (meV per atom): 927.7
# DOS at the Fermi energy (states/eV/cell): 18.72
# Uncorrected energy (eV/atom): -1.57
# Crystal system: cubic
# Formation energy from raw total energies (eV per atom): 0.98
data_Be2CdCl
_space_group_name_H-M_alt 'F m -3 m'
_space_group_IT_number 225
_space_group_name_Hall '-F 4 2 3'
_cell_length_a 6.6185
_cell_length_b 6.6185
_cell_length_c 6.6185
_cell_angle_alpha 90.00
_cell_angle_beta 90.00
_cell_angle_gamma 90.00
loop_
_atom_site_label
_atom_site_type_symbol
_atom_site_fract_x
_atom_site_fract_y
_atom_site_fract_z
Be1 Be 0.2500 0.2500 0.2500
Cd1 Cd 0.0000 0.0000 0.0000
Cl1 Cl 0.0000 0.0000 0.5000